VASP calculation (PBE) on Bi3Sb after structural relaxation.

Cell lengths 3.3739, 13.1172, 5.8911 Å; angles 90.00, 90.00, 90.00 degrees
Space group Imm2 (No. 44)
Asymmetric unit:
Bi  0.0000  0.0000  0.0000 x2
Bi  0.0000  0.2533  0.9985 x4
Sb  0.0000  0.5000  0.9997 x2

Calculated values
Energy above the lowest structure with this stoichiometry: 96 meV per atom
E: -3.851 eV per atom
Crystal system: orthorhombic